LiMnReGe | GGA-PBE | optimized geometry

Output
D(E_F) = 2.34 states/eV/f.u.
ΔE_f = -0.013 eV/atom
M_tot = 0.0 Bohr magnetons per cell
Crystal system = cubic

abc: 5.820 5.820 5.820
angles: 90.00 90.00 90.00
Space group F-43m (No. 216)
One atom of each set of equivalent atoms:
1 Li 0.000 0.000 0.000 x4
2 Mn 0.000 0.000 0.500 x4
3 Re 0.250 0.250 0.250 x4
4 Ge 0.250 0.250 0.750 x4

---

Nb2VSn | GGA-PBE | optimized geometry

Output
D(E_F) = 3.24 states/eV/f.u.
ΔE_f = 0.200 eV/atom
M_tot = 0.0 Bohr magnetons per cell
Crystal system = trigonal

abc: 3.1444 3.1444 26.0939
angles: 90.00 90.00 120.00
Space group R-3m (No. 166, hexagonal axes)
One atom of each set of equivalent atoms:
1 Nb 0.0000 0.0000 0.2407 x6
2 V 0.0000 0.0000 0.5000 x3
3 Sn 0.0000 0.0000 0.0000 x3

---

BaSi2S | GGA-PBE | optimized geometry

Output
D(E_F) = 2.11 states/eV/f.u.
Energy relative to the elements, uncorrected = 0.067 eV/atom
M_tot = 0.0 Bohr magnetons per cell
Crystal system = tetragonal

abc: 7.882 7.882 6.678
angles: 90.00 90.00 90.00
Space group I-42d (No. 122)
One atom of each set of equivalent atoms:
1 Ba 0.000 0.000 0.000 x4
2 Si 0.140 0.750 0.625 x8
3 S 0.000 0.000 0.500 x4

---

Ce2PrDySe5 | GGA-PBE | optimized geometry

Output
D(E_F) = 18.73 states/eV/f.u.
Energy relative to the elements, uncorrected = -1.314 eV/atom
M_tot = 3.4 Bohr magnetons per cell
Crystal system = tetragonal

abc: 5.133 5.133 11.050
angles: 90.00 90.00 90.00
Space group P4/mmm (No. 123)
One atom of each set of equivalent atoms:
1 Ce 0.000 0.000 0.186 x2
2 Pr 0.500 0.500 0.500 x1
3 Dy 0.500 0.500 0.000 x1
4 Se 0.000 0.000 0.500 x1
5 Se 0.000 0.500 0.000 x2
6 Se 0.500 0.500 0.250 x2

---

TaCr2Br | GGA-PBE | optimized geometry

Output
D(E_F) = 2.44 states/eV/f.u.
Energy relative to the elements, uncorrected = 0.387 eV/atom
M_tot = 0.9 Bohr magnetons per cell
Crystal system = tetragonal

abc: 3.029 3.029 7.531
angles: 90.00 90.00 90.00
Space group P4mm (No. 99)
One atom of each set of equivalent atoms:
1 Ta 0.000 0.000 0.000 x1
2 Cr 0.000 0.000 0.607 x1
3 Cr 0.500 0.500 0.770 x1
4 Br 0.500 0.500 0.255 x1

---

LiPuTl | GGA-PBE | optimized geometry

Output
D(E_F) = 6.65 states/eV/f.u.
ΔE_f = 0.036 eV/atom
M_tot = 12.7 Bohr magnetons per cell
Crystal system = tetragonal

abc: 3.346 3.346 12.608
angles: 90.00 90.00 90.00
Space group I4mm (No. 107)
One atom of each set of equivalent atoms:
1 Li 0.000 0.000 0.000 x2
2 Pu 0.000 0.000 0.315 x2
3 Tl 0.000 0.000 0.623 x2

---

Na16In12Bi | GGA-PBE | optimized geometry

Output
D(E_F) = 13.70 states/eV/f.u.
ΔE_f = -0.126 eV/atom
M_tot = 0.0 Bohr magnetons per cell
Crystal system = monoclinic

abc: 11.814 16.617 10.124
angles: 90.00 123.96 90.00
Space group Cm (No. 8)
One atom of each set of equivalent atoms:
1 Na 0.000 0.000 0.000 x2
2 Na 0.000 0.341 0.079 x4
3 Na 0.086 0.154 0.256 x4
4 Na 0.153 0.500 0.316 x2
5 Na 0.159 0.500 0.672 x2
6 Na 0.171 0.194 0.982 x4
7 Na 0.202 0.132 0.678 x4
8 Na 0.358 0.296 0.354 x4
9 Na 0.460 0.500 0.384 x2
10 Na 0.481 0.180 0.680 x4
11 In 0.156 0.310 0.483 x4
12 In 0.246 0.407 0.037 x4
13 In 0.279 0.000 0.482 x2
14 In 0.333 0.313 0.850 x4
15 In 0.391 0.096 0.323 x4
16 In 0.424 0.408 0.661 x4
17 In 0.471 0.000 0.849 x2
18 Bi 0.288 0.000 0.000 x2

---

InRu2Rh | GGA-PBE | optimized geometry

Output
D(E_F) = 4.53 states/eV/f.u.
ΔE_f = 0.299 eV/atom
M_tot = 1.6 Bohr magnetons per cell
Crystal system = monoclinic

abc: 2.827 4.733 4.756
angles: 90.00 93.72 90.00
Space group P2/m (No. 10)
One atom of each set of equivalent atoms:
1 In 0.000 0.000 0.000 x1
2 Ru 0.287 0.500 0.740 x2
3 Rh 0.500 0.000 0.500 x1

---

Mn2RuSe | GGA-PBE | optimized geometry

Output
D(E_F) = 4.38 states/eV/f.u.
Energy relative to the elements, uncorrected = 0.246 eV/atom
M_tot = 8.7 Bohr magnetons per cell
Crystal system = orthorhombic

abc: 3.007 4.257 8.409
angles: 90.00 90.00 90.00
Space group Immm (No. 71)
One atom of each set of equivalent atoms:
1 Mn 0.000 0.000 0.235 x4
2 Ru 0.000 0.500 0.000 x2
3 Se 0.000 0.500 0.500 x2

---

CaPmLuMg | GGA-PBE | optimized geometry

Output
D(E_F) = 2.82 states/eV/f.u.
ΔE_f = 0.073 eV/atom
M_tot = 0.0 Bohr magnetons per cell
Crystal system = cubic

abc: 7.942 7.942 7.942
angles: 90.00 90.00 90.00
Space group F-43m (No. 216)
One atom of each set of equivalent atoms:
1 Ca 0.000 0.000 0.000 x4
2 Pm 0.000 0.000 0.500 x4
3 Lu 0.250 0.250 0.750 x4
4 Mg 0.250 0.250 0.250 x4

---

YHoSn2 | GGA-PBE | optimized geometry

Output
D(E_F) = 2.62 states/eV/f.u.
ΔE_f = -0.736 eV/atom
M_tot = 0.0 Bohr magnetons per cell
Crystal system = orthorhombic

abc: 4.303 4.480 11.402
angles: 90.00 90.00 90.00
Space group Amm2 (No. 38)
One atom of each set of equivalent atoms:
1 Y 0.000 0.000 0.000 x2
2 Ho 0.500 0.000 0.732 x2
3 Sn 0.000 0.000 0.272 x2
4 Sn 0.500 0.000 0.460 x2

---

Cd2InRh | GGA-PBE | optimized geometry

Output
D(E_F) = 1.82 states/eV/f.u.
ΔE_f = -0.038 eV/atom
M_tot = 0.0 Bohr magnetons per cell
Crystal system = orthorhombic

abc: 3.322 4.073 5.807
angles: 90.00 90.00 90.00
Space group Pmmm (No. 47)
One atom of each set of equivalent atoms:
1 Cd 0.000 0.000 0.233 x2
2 In 0.500 0.500 0.500 x1
3 Rh 0.500 0.500 0.000 x1

---

MgMnRu | GGA-PBE | optimized geometry

Output
D(E_F) = 2.45 states/eV/f.u.
ΔE_f = 0.298 eV/atom
M_tot = 0.0 Bohr magnetons per cell
Crystal system = monoclinic

abc: 7.424 4.375 5.465
angles: 90.00 99.42 90.00
Space group C2/m (No. 12)
One atom of each set of equivalent atoms:
1 Mg 0.153 0.000 0.387 x4
2 Mn 0.238 0.000 0.899 x4
3 Ru 0.019 0.500 0.742 x4

---

SmDy2Cd3 | GGA-PBE | optimized geometry

Output
D(E_F) = 6.86 states/eV/f.u.
ΔE_f = -0.316 eV/atom
M_tot = 0.7 Bohr magnetons per cell
Crystal system = tetragonal

abc: 3.765 3.765 11.319
angles: 90.00 90.00 90.00
Space group P4/mmm (No. 123)
One atom of each set of equivalent atoms:
1 Sm 0.000 0.000 0.000 x1
2 Dy 0.000 0.000 0.336 x2
3 Cd 0.500 0.500 0.174 x2
4 Cd 0.500 0.500 0.500 x1

---

LiReAuF2 | GGA-PBE | optimized geometry

Output
D(E_F) = 2.34 states/eV/f.u.
Energy relative to the elements, uncorrected = 0.454 eV/atom
M_tot = 4.2 Bohr magnetons per cell
Crystal system = tetragonal

abc: 4.495 4.495 5.304
angles: 90.00 90.00 90.00
Space group P4/mmm (No. 123)
One atom of each set of equivalent atoms:
1 Li 0.000 0.000 0.000 x1
2 Re 0.500 0.500 0.000 x1
3 Au 0.500 0.500 0.500 x1
4 F 0.000 0.500 0.500 x2

---

TlGa2Cu2 | GGA-PBE | optimized geometry

Output
D(E_F) = 1.84 states/eV/f.u.
ΔE_f = 0.085 eV/atom
M_tot = 0.0 Bohr magnetons per cell
Crystal system = tetragonal

abc: 3.877 3.877 11.910
angles: 90.00 90.00 90.00
Space group I4/mmm (No. 139)
One atom of each set of equivalent atoms:
1 Tl 0.000 0.000 0.000 x2
2 Ga 0.000 0.500 0.250 x4
3 Cu 0.000 0.000 0.393 x4

---

MgTcOsRu | GGA-PBE | optimized geometry

Output
D(E_F) = 3.14 states/eV/f.u.
ΔE_f = 0.192 eV/atom
M_tot = 0.0 Bohr magnetons per cell
Crystal system = cubic

abc: 6.163 6.163 6.163
angles: 90.00 90.00 90.00
Space group F-43m (No. 216)
One atom of each set of equivalent atoms:
1 Mg 0.000 0.000 0.000 x4
2 Tc 0.000 0.000 0.500 x4
3 Os 0.250 0.250 0.250 x4
4 Ru 0.250 0.250 0.750 x4

---

Er4ZnSb | GGA-PBE | optimized geometry

Output
D(E_F) = 4.80 states/eV/f.u.
Energy relative to the elements, uncorrected = -0.456 eV/atom
M_tot = 0.0 Bohr magnetons per cell
Crystal system = cubic

abc: 13.714 13.714 13.714
angles: 90.00 90.00 90.00
Space group F-43m (No. 216)
One atom of each set of equivalent atoms:
1 Er 0.000 0.000 0.186 x24
2 Er 0.060 0.250 0.750 x24
3 Er 0.129 0.129 0.371 x16
4 Zn 0.157 0.157 0.157 x16
5 Sb 0.097 0.097 0.597 x16

---

HgPWS2 | GGA-PBE | optimized geometry

Output
D(E_F) = 2.72 states/eV/f.u.
Energy relative to the elements, uncorrected = 1.848 eV/atom
M_tot = 2.3 Bohr magnetons per cell
Crystal system = tetragonal

abc: 4.874 4.874 4.915
angles: 90.00 90.00 90.00
Space group P4/mmm (No. 123)
One atom of each set of equivalent atoms:
1 Hg 0.000 0.000 0.000 x1
2 P 0.000 0.000 0.500 x1
3 W 0.500 0.500 0.500 x1
4 S 0.000 0.500 0.000 x2

---

Y3FeCo8 | GGA-PBE | optimized geometry

Output
D(E_F) = 15.47 states/eV/f.u.
ΔE_f = -0.102 eV/atom
M_tot = 36.6 Bohr magnetons per cell
Crystal system = trigonal

abc: 4.9840 4.9840 24.4204
angles: 90.00 90.00 120.00
Space group R3m (No. 160, hexagonal axes)
One atom of each set of equivalent atoms:
1 Y 0.0000 0.0000 0.0000 x3
2 Y 0.0000 0.0000 0.1283 x3
3 Y 0.0000 0.0000 0.6173 x3
4 Fe 0.0000 0.0000 0.4951 x3
5 Co 0.0000 0.0000 0.3122 x3
6 Co 0.0000 0.0000 0.8125 x3
7 Co 0.0048 0.5024 0.0646 x9
8 Co 0.1674 0.3348 0.8927 x9

---

KUCo2Cl8 | GGA-PBE | optimized geometry

Output
D(E_F) = 8.89 states/eV/f.u.
Energy relative to the elements, uncorrected = -1.165 eV/atom
M_tot = 9.0 Bohr magnetons per cell
Crystal system = trigonal

abc: 6.4416 6.4416 29.3252
angles: 90.00 90.00 120.00
Space group R-3 (No. 148, hexagonal axes)
One atom of each set of equivalent atoms:
1 K 0.0000 0.0000 0.0000 x3
2 U 0.0000 0.0000 0.5000 x3
3 Co 0.0000 0.0000 0.2490 x6
4 Cl 0.0000 0.0000 0.3236 x6
5 Cl 0.0011 0.3319 0.8880 x18

---

EuLuTlRh | GGA-PBE | optimized geometry

Output
D(E_F) = 8.75 states/eV/f.u.
ΔE_f = -0.361 eV/atom
M_tot = 27.7 Bohr magnetons per cell
Crystal system = cubic

abc: 7.267 7.267 7.267
angles: 90.00 90.00 90.00
Space group F-43m (No. 216)
One atom of each set of equivalent atoms:
1 Eu 0.000 0.000 0.000 x4
2 Lu 0.000 0.000 0.500 x4
3 Tl 0.250 0.250 0.750 x4
4 Rh 0.250 0.250 0.250 x4

---

CdBiAu6 | GGA-PBE | optimized geometry

Output
D(E_F) = 1.39 states/eV/f.u.
ΔE_f = -0.029 eV/atom
M_tot = 0.0 Bohr magnetons per cell
Crystal system = tetragonal

abc: 4.308 4.308 8.539
angles: 90.00 90.00 90.00
Space group P4/mmm (No. 123)
One atom of each set of equivalent atoms:
1 Cd 0.000 0.000 0.000 x1
2 Bi 0.000 0.000 0.500 x1
3 Au 0.000 0.500 0.238 x4
4 Au 0.500 0.500 0.000 x1
5 Au 0.500 0.500 0.500 x1

---

Al4InO8 | GGA-PBE | optimized geometry

Output
D(E_F) = 4.48 states/eV/f.u.
Energy relative to the elements, uncorrected = -2.416 eV/atom
M_tot = 3.0 Bohr magnetons per cell
Crystal system = trigonal

abc: 5.7171 5.7171 15.3424
angles: 90.00 90.00 120.00
Space group R-3m (No. 166, hexagonal axes)
One atom of each set of equivalent atoms:
1 Al 0.0000 0.0000 0.0000 x3
2 Al 0.0000 0.5000 0.0000 x9
3 In 0.0000 0.0000 0.5000 x3
4 O 0.0000 0.0000 0.2739 x6
5 O 0.0073 0.5036 0.2678 x18

---

Ho2Pd3Au4 | GGA-PBE | optimized geometry

Output
D(E_F) = 3.25 states/eV/f.u.
ΔE_f = -0.714 eV/atom
M_tot = 0.0 Bohr magnetons per cell
Crystal system = monoclinic

abc: 9.664 4.227 8.835
angles: 90.00 111.73 90.00
Space group C2/m (No. 12)
One atom of each set of equivalent atoms:
1 Ho 0.173 0.000 0.232 x4
2 Pd 0.000 0.500 0.000 x2
3 Pd 0.161 0.000 0.555 x4
4 Au 0.008 0.500 0.338 x4
5 Au 0.164 0.000 0.888 x4